#a
Entry from Alexandria: an optimized crystal structure of AcTeP (GGA-PBE).

Structure (POSCAR):
```
AcTeP
1.0
6.3489 0.0000 0.0000
0.0000 6.1998 0.0000
0.0000 0.0000 18.9584
Ac Te P
8 8 8
direct
0.0150 0.2500 0.1198
0.0200 0.7500 0.3617
0.4800 0.2500 0.8617
0.4850 0.7500 0.6198
0.5150 0.2500 0.3802
0.5200 0.7500 0.1383
0.9800 0.2500 0.6383
0.9850 0.7500 0.8802
0.0134 0.2500 0.3077
0.0170 0.7500 0.1790
0.4830 0.2500 0.6790
0.4866 0.7500 0.8077
0.5134 0.2500 0.1923
0.5170 0.7500 0.3210
0.9830 0.2500 0.8210
0.9866 0.7500 0.6923
0.1691 0.0630 0.5026
0.1691 0.4370 0.5026
0.3309 0.5630 0.0026
0.3309 0.9370 0.0026
0.6691 0.0630 0.9974
0.6691 0.4370 0.9974
0.8309 0.5630 0.4974
0.8309 0.9370 0.4974
```

- Size of the total moment: 0.00 μB per formula unit
- ρ: 6.86 g/cm³
- Space group: Pnma

#b
Entry from Alexandria: an optimized crystal structure of AcTeP (GGA-PBE).

Structure (POSCAR):
```
AcTeP
1.0
-2.1457 2.1457 5.3534
2.1457 -2.1457 5.3534
2.1457 2.1457 -5.3534
Ac Te P
1 1 1
direct
0.0000 0.0000 0.0000
0.6683 0.6683 0.0000
0.4289 0.4289 0.0000
```

- Size of the total moment: 0.00 μB per formula unit
- ρ: 6.49 g/cm³
- Space group: I4mm

Most stable = #a

#a
Entry from Alexandria: an optimized crystal structure of AcTh2P (GGA-PBE).

Structure (POSCAR):
```
AcTh2P
1.0
1.9312 1.1150 10.8296
-1.9312 1.1150 10.8296
0.0000 -2.2300 10.8296
Ac Th P
1 2 1
direct
0.0000 0.0000 0.0000
0.1140 0.1140 0.1140
0.8860 0.8860 0.8860
0.5000 0.5000 0.5000
```

- Size of the total moment: 0.00 μB per formula unit
- ρ: 8.57 g/cm³
- Space group: R-3m

#b
Entry from Alexandria: an optimized crystal structure of AcTh2P (GGA-PBE).

Structure (POSCAR):
```
AcTh2P
1.0
1.9685 1.1365 9.7525
-1.9685 1.1365 9.7525
0.0000 -2.2731 9.7525
Ac Th P
1 2 1
direct
0.0000 0.0000 0.0000
0.2267 0.2267 0.2267
0.4421 0.4421 0.4421
0.8340 0.8340 0.8340
```

- Size of the total moment: 0.00 μB per formula unit
- ρ: 9.16 g/cm³
- Space group: R3m

Most stable = #b